# 1
PBE-GGA BaClO2, relaxed; excess energy over the best structure of this formula in the dataset = 873 meV per atom; raw formation energy = -2.8 eV per formula unit; crystal system = tetragonal; SG = I-42d; volume = 328.8 Å³/cell
1.0
4.823 0.000 0.000
0.000 4.823 0.000
0.000 0.000 14.133
Ba Cl O
4 4 8
Direct
0.000 0.000 0.000
0.000 0.500 0.250
0.500 0.000 0.750
0.500 0.500 0.500
0.000 0.000 0.500
0.000 0.500 0.750
0.500 0.000 0.250
0.500 0.500 0.000
0.174 0.250 0.625
0.250 0.674 0.875
0.250 0.826 0.375
0.326 0.250 0.125
0.674 0.750 0.125
0.750 0.174 0.375
0.750 0.326 0.875
0.826 0.750 0.625



# 2
PBE-GGA Ba2ClO, relaxed; excess energy over the best structure of this formula in the dataset = 19 meV per atom; raw formation energy = -8.4 eV per formula unit; crystal system = trigonal; SG = R3m; volume = 333.6 Å³/cell
1.0
4.108 0.000 0.000
-2.054 3.557 0.000
0.000 0.000 22.831
Ba Cl O
6 3 3
Direct
0.000 0.000 0.000
0.000 0.000 0.202
0.333 0.667 0.667
0.333 0.667 0.869
0.667 0.333 0.333
0.667 0.333 0.536
0.000 0.000 0.434
0.333 0.667 0.100
0.667 0.333 0.767
0.000 0.000 0.612
0.333 0.667 0.278
0.667 0.333 0.945